Density functional theory data (PBE) for ScPbN after structural relaxation.

Structure (extended XYZ):
```
6
Lattice="-3.3571 1.0387 0.8896 -0.9187 0.3695 3.4871 1.8386 11.2614 1.1752" Properties=species:S:1:pos:R:3 pbc="T T T"
N -1.1208 1.4761 1.4324
Sc -2.5280 2.0054 2.8897
Pb 0.5902 7.1335 1.2837
N -1.3164 11.1935 4.1194
Pb -3.0274 5.5360 4.2681
Sc 0.0908 10.6642 2.6621
```

Values from the calculation:
- Formation energy without anion corrections: -962 meV per atom
- Density: 6.89 g cm⁻³